Entry one
Material: AcLa3Y7
Method: DFT, GGA-PBE
State: relaxed

abc: 7.2087 7.2087 8.9360
angles: 90.00 90.00 120.00
Space group P3m1 (No. 156)
One atom of each set of equivalent atoms:
Ac 0.0000 0.0000 0.0000
La 0.1669 0.3338 0.6585
Y 0.0014 0.5007 0.0016
Y 0.3333 0.6667 0.3217
Y 0.3347 0.1674 0.3262

Entry two
Material: AcLa3Y7
Method: DFT, GGA-PBE
State: relaxed

abc: 11.867 10.141 6.608
angles: 90.00 94.60 90.00
Space group C2/m (No. 12)
One atom of each set of equivalent atoms:
Ac 0.000 0.000 0.000
La 0.000 0.320 0.500
La 0.000 0.500 0.000
Y 0.000 0.000 0.500
Y 0.235 0.500 0.701
Y 0.245 0.171 0.760

Energy ordering: entry one at the bottom, the next structure 19 meV/atom above.

Entry one
Material: AcLaY2
Method: DFT, GGA-PBE
State: relaxed

abc: 3.7417 3.7417 35.9638
angles: 90.00 90.00 120.00
Space group R3m (No. 160, hexagonal axes)
One atom of each set of equivalent atoms:
Ac 0.0000 0.0000 0.0000
La 0.0000 0.0000 0.1662
Y 0.0000 0.0000 0.5805
Y 0.0000 0.0000 0.7519

Entry two
Material: AcLaY2
Method: DFT, GGA-PBE
State: relaxed

abc: 5.356 5.356 5.056
angles: 90.00 90.00 90.00
Space group P4/mmm (No. 123)
One atom of each set of equivalent atoms:
Ac 0.000 0.000 0.000
La 0.500 0.500 0.000
Y 0.000 0.500 0.500

Entry three
Material: AcLaY2
Method: DFT, GGA-PBE
State: relaxed

abc: 8.372 8.372 8.372
angles: 90.00 90.00 90.00
Space group Fm-3m (No. 225)
One atom of each set of equivalent atoms:
Ac 0.000 0.000 0.000
La 0.000 0.000 0.500
Y 0.250 0.250 0.250

Entry four
Material: AcLaY2
Method: DFT, GGA-PBE
State: relaxed

abc: 7.585 10.065 3.811
angles: 90.00 90.00 90.00
Space group Cmmm (No. 65)
One atom of each set of equivalent atoms:
Ac 0.000 0.000 0.000
La 0.000 0.500 0.000
Y 0.250 0.250 0.500

Energy ordering: entry two at the bottom, the next structure 6 meV/atom above.

Entry one
Material: AcLaY2
Method: DFT, GGA-PBE
State: relaxed

abc: 3.832 3.832 9.907
angles: 90.00 90.00 90.00
Space group P4/mmm (No. 123)
One atom of each set of equivalent atoms:
Ac 0.000 0.000 0.000
La 0.000 0.000 0.500
Y 0.500 0.500 0.258

Entry two
Material: AcLaY2
Method: DFT, GGA-PBE
State: relaxed

abc: 3.7516 3.7516 35.5686
angles: 90.00 90.00 120.00
Space group R-3m (No. 166, hexagonal axes)
One atom of each set of equivalent atoms:
Ac 0.0000 0.0000 0.0000
La 0.0000 0.0000 0.5000
Y 0.0000 0.0000 0.2486

Energy ordering: entry two at the bottom, the next structure 8 meV/atom above.

Entry one
Material: AcLa8Y2
Method: DFT, GGA-PBE
State: relaxed

abc: 5.743 8.632 16.533
angles: 90.00 90.00 90.00
Space group Immm (No. 71)
One atom of each set of equivalent atoms:
Ac 0.000 0.000 0.000
La 0.000 0.204 0.500
La 0.000 0.302 0.143
La 0.000 0.500 0.341
Y 0.000 0.000 0.298

Entry two
Material: AcLa8Y2
Method: DFT, GGA-PBE
State: relaxed

abc: 9.464 17.254 6.177
angles: 90.00 126.06 90.00
Space group C2/m (No. 12)
One atom of each set of equivalent atoms:
Ac 0.000 0.000 0.000
La 0.000 0.209 0.000
La 0.069 0.500 0.799
La 0.219 0.123 0.695
Y 0.000 0.313 0.500

Energy ordering: entry one at the bottom, the next structure 11 meV/atom above.

Entry one
Material: Ac12La5Y2
Method: DFT, GGA-PBE
State: relaxed

abc: 19.827 7.699 11.057
angles: 90.00 107.91 90.00
Space group C2/m (No. 12)
One atom of each set of equivalent atoms:
Ac 0.001 0.000 0.179
Ac 0.031 0.500 0.736
Ac 0.159 0.257 0.389
Ac 0.165 0.251 0.038
La 0.000 0.500 0.000
La 0.168 0.000 0.718
La 0.197 0.500 0.710
Y 0.000 0.206 0.500

Entry two
Material: Ac12La5Y2
Method: DFT, GGA-PBE
State: relaxed

abc: 19.303 12.631 6.723
angles: 90.00 103.35 90.00
Space group C2/m (No. 12)
One atom of each set of equivalent atoms:
Ac 0.059 0.000 0.274
Ac 0.102 0.249 0.627
Ac 0.111 0.500 0.007
Ac 0.196 0.241 0.203
La 0.000 0.500 0.500
La 0.184 0.000 0.856
La 0.212 0.500 0.560
Y 0.000 0.262 0.000

Energy ordering: entry two at the bottom, the next structure 74 meV/atom above.

Entry one
Material: AcLa4Y5
Method: DFT, GGA-PBE
State: relaxed

abc: 3.750 3.750 25.173
angles: 90.00 90.00 90.00
Space group P4/mmm (No. 123)
One atom of each set of equivalent atoms:
Ac 0.000 0.000 0.000
La 0.000 0.000 0.203
La 0.000 0.000 0.401
Y 0.500 0.500 0.105
Y 0.500 0.500 0.303
Y 0.500 0.500 0.500

Entry two
Material: AcLa4Y5
Method: DFT, GGA-PBE
State: relaxed

abc: 9.970 5.981 12.595
angles: 90.00 108.44 90.00
Space group C2/m (No. 12)
One atom of each set of equivalent atoms:
Ac 0.000 0.000 0.000
La 0.098 0.500 0.799
La 0.200 0.000 0.599
Y 0.000 0.500 0.500
Y 0.101 0.000 0.302
Y 0.202 0.500 0.103

Energy ordering: entry one at the bottom, the next structure 44 meV/atom above.